(1)
Density functional theory data (GGA-PBEsol) for a relaxed structure of TaZn2IrS.

## Properties
- Space group: P4/mmm
- M_tot: 0.0 μB/cell
- Uncorrected energy: -22.2 eV per cell
- ρ: 7.7 Mg/m³

abc: 4.6700 4.9693 4.9693
angles: 90.00 90.00 90.00
Atoms (fractional coordinates):
Zn 0.0000 0.0000 0.5000
Zn 0.0000 0.5000 0.0000
Ir 0.5000 0.0000 0.0000
S 0.5000 0.5000 0.5000
Ta 0.0000 0.0000 0.0000

(2)
Density functional theory data (GGA-PBEsol) for a relaxed structure of RbBeS2N.

## Properties
- Space group: P4/mmm
- M_tot: 3.8 μB/cell
- Uncorrected energy: -11.0 eV per cell
- ρ: 1.9 Mg/m³

abc: 4.9458 5.5953 5.5953
angles: 90.00 90.00 90.00
Atoms (fractional coordinates):
Be 0.5000 0.5000 0.5000
S 0.0000 0.0000 0.5000
S 0.0000 0.5000 0.0000
Rb 0.0000 0.0000 0.0000
N 0.5000 0.0000 0.0000

(3)
Density functional theory data (GGA-PBEsol) for a relaxed structure of TlHg3.

## Properties
- Space group: P2/m
- M_tot: 0.0 μB/cell
- ρ: 13.4 Mg/m³
- Energy of formation from the pure elements: -0.04 eV/f.u.

abc: 3.3029 5.0233 6.1333
angles: 90.00 101.06 90.00
Atoms (fractional coordinates):
Tl 0.5000 0.5000 0.0000
Hg 0.7964 0.0000 0.7401
Hg 0.0000 0.5000 0.5000
Hg 0.2036 0.0000 0.2599

(4)
Density functional theory data (GGA-PBEsol) for a relaxed structure of TlH3Rh.

## Properties
- Space group: Pm-3m
- M_tot: 0.8 μB/cell
- Uncorrected energy: -14.8 eV per cell
- ρ: 9.5 Mg/m³

abc: 3.7826 3.7826 3.7826
angles: 90.00 90.00 90.00
Atoms (fractional coordinates):
H 0.0000 0.5000 0.0000
H 0.0000 0.0000 0.5000
H 0.5000 0.0000 0.0000
Tl 0.0000 0.0000 0.0000
Rh 0.5000 0.5000 0.5000

> Number 2 is which compound?

RbBeS2N

Copy entry 1 word for word.
Density functional theory data (GGA-PBEsol) for a relaxed structure of TaZn2IrS.

## Properties
- Space group: P4/mmm
- M_tot: 0.0 μB/cell
- Uncorrected energy: -22.2 eV per cell
- ρ: 7.7 Mg/m³

abc: 4.6700 4.9693 4.9693
angles: 90.00 90.00 90.00
Atoms (fractional coordinates):
Zn 0.0000 0.0000 0.5000
Zn 0.0000 0.5000 0.0000
Ir 0.5000 0.0000 0.0000
S 0.5000 0.5000 0.5000
Ta 0.0000 0.0000 0.0000

Copy entry 1 word for word.
Density functional theory data (GGA-PBEsol) for a relaxed structure of TaZn2IrS.

## Properties
- Space group: P4/mmm
- M_tot: 0.0 μB/cell
- Uncorrected energy: -22.2 eV per cell
- ρ: 7.7 Mg/m³

abc: 4.6700 4.9693 4.9693
angles: 90.00 90.00 90.00
Atoms (fractional coordinates):
Zn 0.0000 0.0000 0.5000
Zn 0.0000 0.5000 0.0000
Ir 0.5000 0.0000 0.0000
S 0.5000 0.5000 0.5000
Ta 0.0000 0.0000 0.0000